Entry 1:
Density functional theory data (PBEsol) for a relaxed SrSe2Cl crystal.

Structure (POSCAR):
```
SrSe2Cl
1.0
4.0005 0.0000 0.0000
0.0000 4.0005 0.0000
0.0000 0.0000 11.5878
Sr Se Cl
2 4 2
direct
0.0000 0.0000 0.0000
0.5000 0.5000 0.5000
0.0000 0.5000 0.2500
0.0000 0.5000 0.7500
0.5000 0.0000 0.2500
0.5000 0.0000 0.7500
0.0000 0.0000 0.5000
0.5000 0.5000 0.0000
```

Properties
- offset from the most stable computed form (meV per atom) = 0
- SG = I4/mmm, No. 139

Entry 2:
Density functional theory data (PBEsol) for a relaxed LiScPt2 crystal.

Structure (POSCAR):
```
LiScPt2
1.0
4.1460 0.0000 0.0000
0.0000 4.1460 0.0000
0.0000 0.0000 7.0412
Li Sc Pt
2 2 4
direct
0.0000 0.0000 0.0000
0.5000 0.5000 0.5000
0.0000 0.0000 0.5000
0.5000 0.5000 0.0000
0.0000 0.5000 0.2500
0.0000 0.5000 0.7500
0.5000 0.0000 0.2500
0.5000 0.0000 0.7500
```

Properties
- energy of formation from the pure elements (meV/atom) = -952
- offset from the most stable computed form (meV per atom) = 7
- SG = I4/mmm, No. 139

Entry 3:
Density functional theory data (PBEsol) for a relaxed TaCo2Rh crystal.

Structure (POSCAR):
```
TaCo2Rh
1.0
5.8840 0.0000 0.0000
0.0000 5.8840 0.0000
0.0000 0.0000 5.8840
Ta Co Rh
4 8 4
direct
0.0000 0.0000 0.0000
0.0000 0.5000 0.5000
0.5000 0.0000 0.5000
0.5000 0.5000 0.0000
0.2500 0.2500 0.2500
0.2500 0.2500 0.7500
0.2500 0.7500 0.2500
0.2500 0.7500 0.7500
0.7500 0.2500 0.2500
0.7500 0.2500 0.7500
0.7500 0.7500 0.2500
0.7500 0.7500 0.7500
0.0000 0.0000 0.5000
0.0000 0.5000 0.0000
0.5000 0.0000 0.0000
0.5000 0.5000 0.5000
```

Properties
- energy of formation from the pure elements (meV/atom) = -58
- offset from the most stable computed form (meV per atom) = 309
- SG = Fm-3m, No. 225

Entry 4:
Density functional theory data (PBEsol) for a relaxed Ta5Re crystal.

Structure (POSCAR):
```
Ta5Re
1.0
3.2285 0.0000 0.0000
0.0000 13.6937 0.0000
0.0000 0.0000 4.6037
Ta Re
10 2
direct
0.0000 0.0000 0.0000
0.0000 0.1616 0.5000
0.0000 0.3321 0.0000
0.0000 0.6679 0.0000
0.0000 0.8384 0.5000
0.5000 0.1679 0.0000
0.5000 0.3384 0.5000
0.5000 0.5000 0.0000
0.5000 0.6616 0.5000
0.5000 0.8321 0.0000
0.0000 0.5000 0.5000
0.5000 0.0000 0.5000
```

Properties
- energy of formation from the pure elements (meV/atom) = -158
- offset from the most stable computed form (meV per atom) = 7
- SG = Cmmm, No. 65

Entry 5:
Density functional theory data (PBEsol) for a relaxed K2SrVB5O12 crystal.

Structure (POSCAR):
```
K2SrVB5O12
1.0
6.6392 0.0000 0.0000
0.0000 8.4070 0.0000
-1.6999 0.0000 9.8300
K Sr V B O
4 2 2 10 24
direct
0.0945 0.0000 0.4047
0.1676 0.4129 0.2506
0.8324 0.9129 0.7494
0.9055 0.5000 0.5953
0.4324 0.5396 0.9729
0.5676 0.0396 0.0271
0.3396 0.7481 0.6962
0.6604 0.2481 0.3038
0.0207 0.2274 0.9050
0.1232 0.9910 0.0705
0.2772 0.2328 0.7403
0.3405 0.7808 0.2009
0.4780 0.2445 0.5600
0.5220 0.7445 0.4400
0.6595 0.2808 0.7991
0.7228 0.7328 0.2597
0.8768 0.4910 0.9295
0.9793 0.7274 0.0950
0.0458 0.3953 0.9584
0.0893 0.2171 0.7730
0.1293 0.8454 0.6290
0.1489 0.1308 0.0069
0.1951 0.6793 0.1147
0.2699 0.5631 0.7323
0.2900 0.2265 0.6020
0.2905 0.9490 0.1672
0.3457 0.7555 0.3478
0.4535 0.2487 0.8361
0.4544 0.8292 0.8465
0.4737 0.2470 0.4221
0.5263 0.7470 0.5779
0.5456 0.3292 0.1535
0.5465 0.7487 0.1639
0.6543 0.2555 0.6522
0.7095 0.4490 0.8328
0.7100 0.7265 0.3980
0.7301 0.0631 0.2677
0.8049 0.1793 0.8853
0.8511 0.6308 0.9931
0.8707 0.3454 0.3710
0.9107 0.7171 0.2270
0.9542 0.8953 0.0416
```

Properties
- total DFT energy (no corrections) (hartree per atom) = -0.289
- SG = P2_1, No. 4

Entry 6:
Density functional theory data (PBEsol) for a relaxed ZnIrSe crystal.

Structure (POSCAR):
```
ZnIrSe
1.0
5.9164 0.0000 0.0000
0.0000 5.9164 0.0000
0.0000 0.0000 5.9164
Zn Ir Se
4 4 4
direct
0.0000 0.0000 0.0000
0.0000 0.5000 0.5000
0.5000 0.0000 0.5000
0.5000 0.5000 0.0000
0.0000 0.0000 0.5000
0.0000 0.5000 0.0000
0.5000 0.0000 0.0000
0.5000 0.5000 0.5000
0.2500 0.2500 0.2500
0.2500 0.7500 0.7500
0.7500 0.2500 0.7500
0.7500 0.7500 0.2500
```

Properties
- offset from the most stable computed form (meV per atom) = 0
- SG = F-43m, No. 216

Entry 7:
Density functional theory data (PBEsol) for a relaxed Sc2SF crystal.

Structure (POSCAR):
```
Sc2SF
1.0
3.5411 0.0000 0.0000
-1.7706 3.0667 0.0000
0.0000 0.0000 20.8180
Sc S F
6 3 3
direct
0.0000 0.0000 0.0967
0.0000 0.0000 0.9033
0.3333 0.6667 0.5700
0.3333 0.6667 0.7634
0.6667 0.3333 0.2366
0.6667 0.3333 0.4300
0.0000 0.0000 0.5000
0.3333 0.6667 0.1667
0.6667 0.3333 0.8333
0.0000 0.0000 0.0000
0.3333 0.6667 0.6667
0.6667 0.3333 0.3333
```

Properties
- total DFT energy (no corrections) (hartree per atom) = -0.256
- SG = R-3m, No. 166

Entry 8:
Density functional theory data (PBEsol) for a relaxed Ta2AlPb crystal.

Structure (POSCAR):
```
Ta2AlPb
1.0
4.1079 0.0000 0.0000
0.0000 4.1079 0.0000
0.0000 0.0000 8.7643
Ta Al Pb
4 2 2
direct
0.0000 0.5000 0.2500
0.0000 0.5000 0.7500
0.5000 0.0000 0.2500
0.5000 0.0000 0.7500
0.0000 0.0000 0.0000
0.5000 0.5000 0.5000
0.0000 0.0000 0.5000
0.5000 0.5000 0.0000
```

Properties
- energy of formation from the pure elements (meV/atom) = 332
- SG = I4/mmm, No. 139